Computed, not measured: crystalline Tb2Pm2Pd15 at its relaxed geometry at the PBE level of DFT.

Cell: 7.1332 7.1332 7.1332 Å, 80.88 80.88 80.88°
Atoms (fractional coordinates):
1 Tb 0.8915 0.8915 0.8915
2 Tb 0.1085 0.1085 0.1085
3 Pd 0.6500 0.6500 0.1602
4 Pd 0.3500 0.8398 0.3500
5 Pd 0.3076 0.6924 0.0000
6 Pd 0.6924 0.3076 0.0000
7 Pd 0.8398 0.3500 0.3500
8 Pd 0.0000 0.0000 0.5000
9 Pd 0.5000 0.0000 0.0000
10 Pd 0.0000 0.6924 0.3076
11 Pd 0.0000 0.5000 0.0000
12 Pd 0.0000 0.3076 0.6924
13 Pd 0.6924 0.0000 0.3076
14 Pd 0.1602 0.6500 0.6500
15 Pd 0.3076 0.0000 0.6924
16 Pd 0.3500 0.3500 0.8398
17 Pd 0.6500 0.1602 0.6500
18 Pm 0.6380 0.6380 0.6380
19 Pm 0.3620 0.3620 0.3620

As for the formation energy from the elements: -566 meV per atom. The value obtained for the raw total energy is -5.653 eV/atom. Its crystal system is trigonal.